Here is TcIrPd after structural relaxation from Alexandria. Energies are from GGA-PBE.

Energy = -48.97 eV per cell
Offset from the most stable computed form = 44 meV per atom
ρ = 15.0 g/cm3
Energy of formation from the pure elements = -0.02 eV/atom

abc: 4.7796 4.7796 5.2491
angles: 117.53 117.53 59.85
With the nearest neighbours (Å) after each atom.
Fractional coordinates of all 6 atoms:
Tc: 0.0824 0.9176 0.5000  5 Pd 2.71-2.78, 5 Ir 2.72-2.78, 2 Tc 2.74
Tc: 0.9176 0.0824 0.0000  5 Pd 2.71-2.78, 5 Ir 2.72-2.78, 2 Tc 2.74
Ir: 0.2530 0.4127 0.0061  5 Pd 2.72-2.77, 5 Tc 2.72-2.78, 2 Ir 2.73
Ir: 0.4127 0.2530 0.5061  5 Pd 2.72-2.77, 5 Tc 2.72-2.78, 2 Ir 2.73
Pd: 0.5821 0.7503 0.0052  5 Tc 2.71-2.78, 5 Ir 2.72-2.77, 2 Pd 2.74
Pd: 0.7503 0.5821 0.5052  5 Tc 2.71-2.78, 5 Ir 2.72-2.77, 2 Pd 2.74